## BeAg2F4 (PBE)

Data for a relaxed structure of BeAg2F4.

As for the formation energy without anion corrections: -1.9426 eV per atom.

It has space group I-42m (No. 121), with a = 6.006 Å, b = 6.006 Å, c = 5.786 Å, α = 90.00°, β = 90.00° and γ = 90.00°. The asymmetric unit holds Be at (0.000, 0.000, 0.000), Ag at (0.000, 0.500, 0.000) and F at (0.154, 0.154, 0.850).



## UGe3S6 (PBE)

Data for a relaxed structure of UGe3S6.

As for the formation energy without anion corrections: -0.5760 eV per atom.

It has space group P2_1/m (No. 11), with a = 11.767 Å, b = 3.715 Å, c = 11.893 Å, α = 90.00°, β = 110.37° and γ = 90.00°. The asymmetric unit holds U at (0.013, 0.250, 0.168), Ge at (0.209, 0.250, 0.712), Ge at (0.322, 0.750, 0.138), Ge at (0.427, 0.750, 0.561), S at (0.008, 0.250, 0.659), S at (0.117, 0.250, 0.991), S at (0.197, 0.750, 0.256), S at (0.260, 0.750, 0.837), S at (0.284, 0.250, 0.558) and S at (0.464, 0.250, 0.232).



## Tb6NiRu2 (PBE)

Data for a relaxed structure of Tb6NiRu2.

For the energy of formation, the calculation gives -27.7 kJ/mol of atoms.

It has space group P2_1/c (No. 14), with a = 6.517 Å, b = 7.383 Å, c = 11.374 Å, α = 90.00°, β = 123.46° and γ = 90.00°. The asymmetric unit holds Tb at (0.088, 0.049, 0.243), Tb at (0.230, 0.674, 0.071), Tb at (0.398, 0.175, 0.068), Ni at (0.500, 0.000, 0.500) and Ru at (0.301, 0.117, 0.762).



## SrHoTlCd (PBE)

Data for a relaxed structure of SrHoTlCd.

For the offset from the most stable computed form, the calculation gives 0.16 eV per formula unit. For the energy of formation, the calculation gives -29.8 kJ/mol of atoms.

It has space group F-43m (No. 216), with a = 7.808 Å, b = 7.808 Å, c = 7.808 Å, α = 90.00°, β = 90.00° and γ = 90.00°. The asymmetric unit holds Sr at (0.000, 0.000, 0.000), Ho at (0.000, 0.000, 0.500), Tl at (0.250, 0.250, 0.750) and Cd at (0.250, 0.250, 0.250).



## HfPH3 (PBE)

Data for a relaxed structure of HfPH3.

For the offset from the most stable computed form, the calculation gives 1.43 eV per formula unit.

It has space group Pm-3m (No. 221), with a = 3.474 Å, b = 3.474 Å, c = 3.474 Å, α = 90.00°, β = 90.00° and γ = 90.00°. The asymmetric unit holds Hf at (0.000, 0.000, 0.000), P at (0.500, 0.500, 0.500) and H at (0.000, 0.500, 0.500).



## NiSn2Pb (PBE)

Data for a relaxed structure of NiSn2Pb.

For the energy of formation, the calculation gives 1.9 kJ/mol of atoms.

It has space group R-3m (No. 166, hexagonal axes), with a = 3.5367 Å, b = 3.5367 Å, c = 28.3796 Å, α = 90.00°, β = 90.00° and γ = 120.00°. The asymmetric unit holds Ni at (0.0000, 0.0000, 0.0000), Sn at (0.0000, 0.0000, 0.3898) and Pb at (0.0000, 0.0000, 0.5000).



## K5Tl2F12 (PBE)

Data for a relaxed structure of K5Tl2F12.

For the offset from the most stable computed form, the calculation gives 0.50 eV per formula unit. As for the formation energy without anion corrections: -2.2210 eV per atom.

It has space group C2/m (No. 12), with a = 13.048 Å, b = 8.257 Å, c = 7.747 Å, α = 90.00°, β = 121.75° and γ = 90.00°. The asymmetric unit holds K at (0.000, 0.000, 0.000), K at (0.187, 0.500, 0.995), K at (0.243, 0.500, 0.503), Tl at (0.000, 0.236, 0.500), F at (0.014, 0.500, 0.366), F at (0.066, 0.205, 0.292), F at (0.111, 0.000, 0.662) and F at (0.192, 0.302, 0.735).



## LiB11 (PBE)

Data for a relaxed structure of LiB11.

For the offset from the most stable computed form, the calculation gives 1.61 eV per formula unit. For the energy of formation, the calculation gives 25.1 kJ/mol of atoms.

It has space group F-43m (No. 216), with a = 6.999 Å, b = 6.999 Å, c = 6.999 Å, α = 90.00°, β = 90.00° and γ = 90.00°. The asymmetric unit holds Li at (0.000, 0.000, 0.000), B at (0.000, 0.000, 0.500), B at (0.072, 0.250, 0.250) and B at (0.157, 0.157, 0.657).



## LiTcBi (PBE)

Data for a relaxed structure of LiTcBi.

For the offset from the most stable computed form, the calculation gives 0.00 eV per formula unit. For the energy of formation, the calculation gives 4.1 kJ/mol of atoms.

It has space group P4mm (No. 99), with a = 3.289 Å, b = 3.289 Å, c = 10.592 Å, α = 90.00°, β = 90.00° and γ = 90.00°. The asymmetric unit holds Li at (0.000, 0.000, 0.000), Li at (0.000, 0.000, 0.346), Tc at (0.000, 0.000, 0.747), Tc at (0.500, 0.500, 0.868), Bi at (0.500, 0.500, 0.159) and Bi at (0.500, 0.500, 0.565).



## PaCdSb2 (PBE)

Data for a relaxed structure of PaCdSb2.

For the offset from the most stable computed form, the calculation gives 1.13 eV per formula unit. As for the formation energy without anion corrections: -0.0927 eV per atom.

It has space group R-3m (No. 166, hexagonal axes), with a = 3.2488 Å, b = 3.2488 Å, c = 35.6524 Å, α = 90.00°, β = 90.00° and γ = 120.00°. The asymmetric unit holds Pa at (0.0000, 0.0000, 0.0000), Cd at (0.0000, 0.0000, 0.5000) and Sb at (0.0000, 0.0000, 0.4094).



## Pr5Sb2Pd (PBE)

Data for a relaxed structure of Pr5Sb2Pd.

As for the formation energy without anion corrections: -0.4939 eV per atom.

It has space group Cmcm (No. 63), with a = 6.174 Å, b = 12.497 Å, c = 14.489 Å, α = 90.00°, β = 90.00° and γ = 90.00°. The asymmetric unit holds Pr at (0.000, 0.063, 0.109), Pr at (0.000, 0.346, 0.750), Pr at (0.000, 0.370, 0.073), Sb at (0.000, 0.191, 0.586) and Pd at (0.000, 0.226, 0.250).



## CeSmGa5Pt2 (PBE)

Data for a relaxed structure of CeSmGa5Pt2.

For the energy of formation, the calculation gives -63.3 kJ/mol of atoms.

It has space group P4/mmm (No. 123), with a = 4.110 Å, b = 4.110 Å, c = 10.646 Å, α = 90.00°, β = 90.00° and γ = 90.00°. The asymmetric unit holds Ce at (0.000, 0.000, 0.000), Sm at (0.000, 0.000, 0.500), Ga at (0.000, 0.500, 0.277), Ga at (0.500, 0.500, 0.500) and Pt at (0.500, 0.500, 0.124).



## U2GeAs (PBE)

Data for a relaxed structure of U2GeAs.

For the offset from the most stable computed form, the calculation gives 0.00 eV per formula unit. For the energy of formation, the calculation gives -35.0 kJ/mol of atoms.

It has space group R-3m (No. 166, hexagonal axes), with a = 4.1204 Å, b = 4.1204 Å, c = 19.8975 Å, α = 90.00°, β = 90.00° and γ = 120.00°. The asymmetric unit holds U at (0.0000, 0.0000, 0.2502), Ge at (0.0000, 0.0000, 0.5000) and As at (0.0000, 0.0000, 0.0000).



## KSc2Pb (PBE)

Data for a relaxed structure of KSc2Pb.

For the energy of formation, the calculation gives 3.4 kJ/mol of atoms.

It has space group P4mm (No. 99), with a = 3.533 Å, b = 3.533 Å, c = 9.960 Å, α = 90.00°, β = 90.00° and γ = 90.00°. The asymmetric unit holds K at (0.000, 0.000, 0.000), Sc at (0.000, 0.000, 0.466), Sc at (0.500, 0.500, 0.663) and Pb at (0.500, 0.500, 0.272).



## CrSiC2 (PBE)

Data for a relaxed structure of CrSiC2.

As for the formation energy without anion corrections: 0.3404 eV per atom.

It has space group I-42d (No. 122), with a = 4.471 Å, b = 4.471 Å, c = 8.824 Å, α = 90.00°, β = 90.00° and γ = 90.00°. The asymmetric unit holds Cr at (0.000, 0.000, 0.000), Si at (0.000, 0.000, 0.500) and C at (0.238, 0.250, 0.625).



## ZrAu4 (PBE)

Data for a relaxed structure of ZrAu4.

For the energy of formation, the calculation gives 29.0 kJ/mol of atoms.

It has space group Im-3m (No. 229), with a = 6.264 Å, b = 6.264 Å, c = 6.264 Å, α = 90.00°, β = 90.00° and γ = 90.00°. The asymmetric unit holds Zr at (0.000, 0.000, 0.000) and Au at (0.250, 0.250, 0.250).



## Pa3Co3Bi4 (PBE)

Data for a relaxed structure of Pa3Co3Bi4.

For the energy of formation, the calculation gives -33.5 kJ/mol of atoms.

It has space group I-43d (No. 220), with a = 9.560 Å, b = 9.560 Å, c = 9.560 Å, α = 90.00°, β = 90.00° and γ = 90.00°. The asymmetric unit holds Pa at (0.000, 0.250, 0.375), Co at (0.000, 0.250, 0.875) and Bi at (0.084, 0.084, 0.084).



## Pm6Ag5Ge (PBE)

Data for a relaxed structure of Pm6Ag5Ge.

For the energy of formation, the calculation gives -33.8 kJ/mol of atoms.

It has space group Cmmm (No. 65), with a = 5.239 Å, b = 15.837 Å, c = 7.417 Å, α = 90.00°, β = 90.00° and γ = 90.00°. The asymmetric unit holds Pm at (0.000, 0.000, 0.243), Pm at (0.000, 0.337, 0.247), Ag at (0.000, 0.170, 0.500), Ag at (0.000, 0.174, 0.000), Ag at (0.000, 0.500, 0.500) and Ge at (0.000, 0.500, 0.000).



## SmDy2Te2 (PBE)

Data for a relaxed structure of SmDy2Te2.

As for the formation energy without anion corrections: -0.7642 eV per atom.

It has space group C2/m (No. 12), with a = 7.187 Å, b = 5.965 Å, c = 7.370 Å, α = 90.00°, β = 104.52° and γ = 90.00°. The asymmetric unit holds Sm at (0.000, 0.000, 0.000), Dy at (0.000, 0.248, 0.500) and Te at (0.173, 0.500, 0.209).



## PmMnNi2H8 (PBE)

Data for a relaxed structure of PmMnNi2H8.

As for the total energy: -162.71 eV for the cell shown.

It has space group R-3 (No. 148, hexagonal axes), with a = 4.4778 Å, b = 4.4778 Å, c = 16.0499 Å, α = 90.00°, β = 90.00° and γ = 120.00°. The asymmetric unit holds Pm at (0.0000, 0.0000, 0.0000), Mn at (0.0000, 0.0000, 0.5000), Ni at (0.0000, 0.0000, 0.2090), H at (0.0000, 0.0000, 0.3088) and H at (0.0140, 0.3737, 0.7821).